No. 1
ZnCd5Hg4 GGA-PBE optimized geometry; DOS(E_F) = 3.7 states/eV/cell; symmetry = P4/mmm, No. 123; energy relative to the elements = 0.05 eV per atom; density = 10.28 g/cm³
1.0
3.8747 0.0000 0.0000
0.0000 3.8747 0.0000
0.0000 0.0000 15.3906
Zn Cd Hg
1 5 4
direct
0.0000 0.0000 0.0000
0.5000 0.5000 0.0924
0.5000 0.5000 0.2927
0.5000 0.5000 0.5000
0.5000 0.5000 0.7073
0.5000 0.5000 0.9076
0.0000 0.0000 0.1878
0.0000 0.0000 0.3957
0.0000 0.0000 0.6043
0.0000 0.0000 0.8122

No. 2
LiFePt GGA-PBE optimized geometry; DOS(E_F) = 4.7 states/eV/cell; symmetry = Cmcm, No. 63; energy relative to the elements = -0.13 eV per atom; density = 10.84 g/cm³
1.0
2.1393 -4.2460 0.0000
2.1393 4.2460 0.0000
0.0000 0.0000 4.3487
Li Fe Pt
2 2 2
direct
0.2474 0.7526 0.7500
0.7526 0.2474 0.2500
0.4220 0.5780 0.2500
0.5780 0.4220 0.7500
0.0967 0.9033 0.2500
0.9033 0.0967 0.7500

No. 3
MoAuCl2 GGA-PBE optimized geometry; DOS(E_F) = 2.5 states/eV/cell; symmetry = C2/m, No. 12; energy above the lowest structure with this stoichiometry = 2.73 eV per formula unit; density = 7.60 g/cm³
1.0
3.1003 -4.3249 0.0000
3.1003 4.3249 0.0000
-1.5573 0.0000 2.9627
Mo Au Cl
1 1 2
direct
0.0000 0.0000 0.0000
0.5000 0.5000 0.0000
0.0000 0.5000 0.0000
0.5000 0.0000 0.0000

No. 4
NpNi2H8Ru GGA-PBE optimized geometry; DOS(E_F) = 14.5 states/eV/cell; VASP energy = -5.0558 eV per atom; symmetry = R-3, No. 148; density = 8.38 g/cm³
1.0
2.2632 1.3067 5.1778
-2.2632 1.3067 5.1778
0.0000 -2.6133 5.1778
Np Ni H Ru
1 2 8 1
direct
0.0000 0.0000 0.0000
0.2189 0.2189 0.2189
0.7811 0.7811 0.7811
0.1319 0.8007 0.4071
0.1993 0.5929 0.8681
0.3206 0.3206 0.3206
0.4071 0.1319 0.8007
0.5929 0.8681 0.1993
0.6794 0.6794 0.6794
0.8007 0.4071 0.1319
0.8681 0.1993 0.5929
0.5000 0.5000 0.5000

No. 5
Pm4PrIn GGA-PBE optimized geometry; DOS(E_F) = 11.2 states/eV/cell; symmetry = P4/mmm, No. 123; energy relative to the elements = -0.06 eV per atom; energy above the lowest structure with this stoichiometry = 0.42 eV per formula unit; density = 7.11 g/cm³
1.0
4.2106 0.0000 0.0000
0.0000 4.2106 0.0000
0.0000 0.0000 11.0129
Pm Pr In
4 1 1
direct
0.0000 0.0000 0.1487
0.0000 0.0000 0.8513
0.5000 0.5000 0.3272
0.5000 0.5000 0.6728
0.0000 0.0000 0.5000
0.5000 0.5000 0.0000

No. 6
Th3BiAsRu GGA-PBE optimized geometry; DOS(E_F) = 8.8 states/eV/cell; symmetry = P2_1/m, No. 11; energy relative to the elements = -0.68 eV per atom; density = 10.80 g/cm³
1.0
8.6751 0.0000 0.0000
0.0000 4.2125 0.0000
-3.5076 0.0000 9.0995
Th Bi As Ru
6 2 2 2
direct
0.1676 0.2500 0.1401
0.2405 0.7500 0.4827
0.3114 0.7500 0.8762
0.6886 0.2500 0.1238
0.7595 0.2500 0.5173
0.8324 0.7500 0.8599
0.4840 0.7500 0.2614
0.5160 0.2500 0.7386
0.0487 0.2500 0.8023
0.9513 0.7500 0.1977
0.0133 0.7500 0.6171
0.9867 0.2500 0.3829

No. 7
KRbSnO2 GGA-PBE optimized geometry; DOS(E_F) = 0.1 states/eV/cell; VASP energy = -4.3980 eV per atom; symmetry = C2/m, No. 12; density = 3.87 g/cm³
1.0
6.1818 -2.5151 0.0000
6.1818 2.5151 0.0000
-3.0588 0.0000 7.5949
K Rb Sn O
2 2 2 4
direct
0.1638 0.1638 0.0585
0.8362 0.8362 0.9415
0.1476 0.1476 0.5973
0.8524 0.8524 0.4027
0.4782 0.4782 0.7923
0.5218 0.5218 0.2077
0.0198 0.0198 0.2384
0.3790 0.3790 0.9586
0.6210 0.6210 0.0414
0.9802 0.9802 0.7615

No. 8
Pm2Zn3Cu12Ir GGA-PBE optimized geometry; DOS(E_F) = 7.1 states/eV/cell; symmetry = R-3m, No. 166; energy relative to the elements = 0.11 eV per atom; density = 8.09 g/cm³
1.0
3.0233 1.7455 9.3418
-3.0233 1.7455 9.3418
0.0000 -3.4910 9.3418
Pm Zn Cu Ir
2 3 12 1
direct
0.1479 0.1479 0.1479
0.8521 0.8521 0.8521
0.0000 0.5000 0.5000
0.5000 0.0000 0.5000
0.5000 0.5000 0.0000
0.0819 0.0819 0.6877
0.0819 0.6877 0.0819
0.1391 0.5744 0.5744
0.3123 0.9181 0.9181
0.4256 0.4256 0.8609
0.4256 0.8609 0.4256
0.5744 0.1391 0.5744
0.5744 0.5744 0.1391
0.6877 0.0819 0.0819
0.8609 0.4256 0.4256
0.9181 0.3123 0.9181
0.9181 0.9181 0.3123
0.5000 0.5000 0.5000

No. 9
Li2MnSe GGA-PBE optimized geometry; DOS(E_F) = 1.9 states/eV/cell; VASP energy = -4.4144 eV per atom; symmetry = P4/mmm, No. 123; density = 3.67 g/cm³
1.0
3.5667 0.0000 0.0000
0.0000 3.5667 0.0000
0.0000 0.0000 5.2510
Li Mn Se
2 1 1
direct
0.0000 0.0000 0.2255
0.0000 0.0000 0.7745
0.5000 0.5000 0.5000
0.5000 0.5000 0.0000

No. 10
Tb3HoTh3 GGA-PBE optimized geometry; DOS(E_F) = 20.6 states/eV/cell; symmetry = P6_3/m, No. 176; energy relative to the elements = 0.04 eV per atom; energy above the lowest structure with this stoichiometry = 0.00 eV per formula unit; density = 9.79 g/cm³
1.0
9.4620 0.0000 0.0000
-4.7310 8.1943 0.0000
0.0000 0.0000 5.8506
Tb Ho Th
6 2 6
direct
0.0915 0.6217 0.2500
0.3783 0.4698 0.2500
0.4698 0.0915 0.7500
0.5302 0.9085 0.2500
0.6217 0.5302 0.7500
0.9085 0.3783 0.7500
0.3333 0.6667 0.7500
0.6667 0.3333 0.2500
0.0477 0.8138 0.7500
0.1862 0.2340 0.7500
0.2340 0.0477 0.2500
0.7660 0.9523 0.7500
0.8138 0.7660 0.2500
0.9523 0.1862 0.2500

No. 11
CdSbOs2 GGA-PBE optimized geometry; DOS(E_F) = 4.0 states/eV/cell; symmetry = R3m, No. 160; energy above the lowest structure with this stoichiometry = 0.85 eV per formula unit; density = 13.12 g/cm³
1.0
1.4640 0.8452 10.4764
-1.4640 0.8452 10.4764
0.0000 -1.6905 10.4764
Cd Sb Os
1 1 2
direct
0.0000 0.0000 0.0000
0.2160 0.2160 0.2160
0.4764 0.4764 0.4764
0.7457 0.7457 0.7457

No. 12
Ac2Ce2Sn7 GGA-PBE optimized geometry; DOS(E_F) = 16.7 states/eV/cell; symmetry = Cmmm, No. 65; energy relative to the elements = -0.18 eV per atom; density = 6.51 g/cm³
1.0
5.4902 -6.1157 0.0000
5.4902 6.1157 0.0000
0.0000 0.0000 5.9494
Ac Ce Sn
2 2 7
direct
0.2037 0.2037 0.0000
0.7963 0.7963 0.0000
0.2594 0.7406 0.5000
0.7406 0.2594 0.5000
0.0000 0.0000 0.5000
0.0000 0.5000 0.2423
0.0000 0.5000 0.7577
0.5000 0.0000 0.2423
0.5000 0.0000 0.7577
0.5000 0.5000 0.2481
0.5000 0.5000 0.7519

Repeat the eleventh record exactly.
CdSbOs2 GGA-PBE optimized geometry; DOS(E_F) = 4.0 states/eV/cell; symmetry = R3m, No. 160; energy above the lowest structure with this stoichiometry = 0.85 eV per formula unit; density = 13.12 g/cm³
1.0
1.4640 0.8452 10.4764
-1.4640 0.8452 10.4764
0.0000 -1.6905 10.4764
Cd Sb Os
1 1 2
direct
0.0000 0.0000 0.0000
0.2160 0.2160 0.2160
0.4764 0.4764 0.4764
0.7457 0.7457 0.7457